[1]
Computed, not measured: a relaxed Ta12OsW6 crystal at the PBE-GGA level of DFT.

Calculated values
V, Å³/atom: 17.8
DOS(E_F), states/eV/atom: 0.995
Total magnetization, μB per formula unit: 0.00
Space-group type: No. 148
Calculated formation energy, eV per atom: 0.26

abc: 7.743 7.743 7.743
angles: 110.83 110.83 110.83
Positions (direct):
Ta: 0.053 0.182 0.312
Ta: 0.182 0.312 0.053
Ta: 0.215 0.656 0.562
Ta: 0.312 0.053 0.182
Ta: 0.344 0.438 0.785
Ta: 0.438 0.785 0.344
Ta: 0.562 0.215 0.656
Ta: 0.656 0.562 0.215
Ta: 0.688 0.947 0.818
Ta: 0.785 0.344 0.438
Ta: 0.818 0.688 0.947
Ta: 0.947 0.818 0.688
Os: 0.500 0.500 0.500
W: 0.098 0.889 0.399
W: 0.111 0.601 0.902
W: 0.399 0.098 0.889
W: 0.601 0.902 0.111
W: 0.889 0.399 0.098
W: 0.902 0.111 0.601

[2]
Computed, not measured: a relaxed HoTh2Ni2 crystal at the PBE-GGA level of DFT.

Calculated values
V, Å³/atom: 23.5
DOS(E_F), states/eV/atom: 1.218
Total magnetization, μB per formula unit: 0.00
Space-group type: No. 71
Relative energy among the computed polymorphs, eV per atom: 0.034
Calculated formation energy, eV per atom: -0.31

abc: 6.139 6.139 6.139
angles: 145.04 115.55 75.47
Positions (direct):
Ho: 0.000 0.000 0.000
Th: 0.309 0.809 0.500
Th: 0.691 0.191 0.500
Ni: 0.310 0.500 0.810
Ni: 0.690 0.500 0.190

[3]
Computed, not measured: a relaxed Ac2UGe crystal at the PBE-GGA level of DFT.

Calculated values
V, Å³/atom: 33.5
DOS(E_F), states/eV/atom: 2.499
Total magnetization, μB per formula unit: 3.46
Space-group type: No. 166
Calculated formation energy, eV per atom: 0.54

abc: 11.904 11.904 11.904
angles: 17.56 17.56 17.56
Positions (direct):
Ac: 0.098 0.098 0.098
Ac: 0.902 0.902 0.902
U: 0.000 0.000 0.000
Ge: 0.500 0.500 0.500

[4]
Computed, not measured: a relaxed YBeP crystal at the PBE-GGA level of DFT.

Calculated values
V, Å³/atom: 17.0
DOS(E_F), states/eV/atom: 0.630
Total magnetization, μB per formula unit: 0.00
Space-group type: No. 107
Relative energy among the computed polymorphs, eV per atom: 0.738
Calculated formation energy, eV per atom: -0.27

abc: 5.363 5.363 5.363
angles: 144.84 144.84 50.57
Positions (direct):
Y: 0.000 0.000 0.000
Be: 0.709 0.709 0.000
P: 0.290 0.290 0.000

[5]
Computed, not measured: a relaxed Sc2UAg crystal at the PBE-GGA level of DFT.

Calculated values
V, Å³/atom: 21.2
DOS(E_F), states/eV/atom: 1.291
Total magnetization, μB per formula unit: 1.73
Space-group type: No. 123
Calculated formation energy, eV per atom: 0.04

abc: 3.053 3.053 9.085
angles: 90.00 90.00 90.00
Positions (direct):
Sc: 0.000 0.000 0.235
Sc: 0.000 0.000 0.765
U: 0.500 0.500 0.500
Ag: 0.500 0.500 0.000

[6]
Computed, not measured: a relaxed KMg2GeO crystal at the PBE-GGA level of DFT.

Calculated values
V, Å³/atom: 25.7
Formation energy without anion corrections, eV/atom: -0.012
DOS(E_F), states/eV/atom: 0.658
Total magnetization, μB per formula unit: 0.00
Space-group type: No. 123

abc: 5.602 5.602 4.098
angles: 90.00 90.00 90.00
Positions (direct):
K: 0.000 0.000 0.000
Mg: 0.000 0.500 0.500
Mg: 0.500 0.000 0.500
Ge: 0.500 0.500 0.500
O: 0.500 0.500 0.000

[7]
Computed, not measured: a relaxed Pu2Cu7 crystal at the PBE-GGA level of DFT.

Calculated values
V, Å³/atom: 15.7
DOS(E_F), states/eV/atom: 2.296
Total magnetization, μB per formula unit: 11.97
Space-group type: No. 166
Calculated formation energy, eV per atom: -0.02

abc: 12.643 12.643 12.643
angles: 23.54 23.54 23.54
Positions (direct):
Pu: 0.053 0.053 0.053
Pu: 0.152 0.152 0.152
Pu: 0.848 0.848 0.848
Pu: 0.947 0.947 0.947
Cu: 0.000 0.500 0.500
Cu: 0.110 0.608 0.608
Cu: 0.279 0.279 0.279
Cu: 0.387 0.387 0.387
Cu: 0.392 0.392 0.890
Cu: 0.392 0.890 0.392
Cu: 0.500 0.000 0.500
Cu: 0.500 0.500 0.000
Cu: 0.500 0.500 0.500
Cu: 0.608 0.110 0.608
Cu: 0.608 0.608 0.110
Cu: 0.613 0.613 0.613
Cu: 0.721 0.721 0.721
Cu: 0.890 0.392 0.392

[8]
Computed, not measured: a relaxed Pa2TeO crystal at the PBE-GGA level of DFT.

Calculated values
V, Å³/atom: 20.3
Formation energy without anion corrections, eV/atom: -0.802
DOS(E_F), states/eV/atom: 1.833
Total magnetization, μB per formula unit: 1.93
Space-group type: No. 123
Relative energy among the computed polymorphs, eV per atom: 0.667

abc: 3.427 3.427 6.922
angles: 90.00 90.00 90.00
Positions (direct):
Pa: 0.000 0.000 0.211
Pa: 0.000 0.000 0.789
Te: 0.500 0.500 0.500
O: 0.500 0.500 0.000

[9]
Computed, not measured: a relaxed PmIn2Au8 crystal at the PBE-GGA level of DFT.

Calculated values
V, Å³/atom: 21.4
DOS(E_F), states/eV/atom: 0.266
Total magnetization, μB per formula unit: 0.00
Space-group type: No. 12
Relative energy among the computed polymorphs, eV per atom: 0.018
Calculated formation energy, eV per atom: -0.27

abc: 8.447 8.447 4.510
angles: 105.15 105.15 120.57
Positions (direct):
Pm: 0.000 0.000 0.000
In: 0.333 0.667 0.500
In: 0.667 0.333 0.500
Au: 0.061 0.339 0.663
Au: 0.219 0.781 0.000
Au: 0.339 0.061 0.663
Au: 0.384 0.384 0.136
Au: 0.616 0.616 0.864
Au: 0.661 0.939 0.337
Au: 0.781 0.219 0.000
Au: 0.939 0.661 0.337

[10]
Computed, not measured: a relaxed TmNi12 crystal at the PBE-GGA level of DFT.

Calculated values
V, Å³/atom: 12.1
DOS(E_F), states/eV/atom: 1.672
Total magnetization, μB per formula unit: 5.65
Space-group type: No. 139
Calculated formation energy, eV per atom: -0.12

abc: 6.239 6.239 6.239
angles: 98.12 98.12 135.83
Positions (direct):
Tm: 0.000 0.000 0.000
Ni: 0.000 0.000 0.500
Ni: 0.000 0.354 0.354
Ni: 0.000 0.500 0.000
Ni: 0.000 0.646 0.646
Ni: 0.278 0.500 0.778
Ni: 0.354 0.000 0.354
Ni: 0.500 0.000 0.000
Ni: 0.500 0.278 0.778
Ni: 0.500 0.500 0.500
Ni: 0.500 0.722 0.222
Ni: 0.646 0.000 0.646
Ni: 0.722 0.500 0.222

[11]
Computed, not measured: a relaxed TbPm5PrNd2 crystal at the PBE-GGA level of DFT.

Calculated values
V, Å³/atom: 34.8
DOS(E_F), states/eV/atom: 1.426
Total magnetization, μB per formula unit: 0.00
Space-group type: No. 140
Calculated formation energy, eV per atom: 0.26

abc: 10.126 10.126 10.126
angles: 127.93 127.93 76.73
Positions (direct):
Tb: 0.250 0.750 0.500
Tb: 0.750 0.250 0.500
Pm: 0.000 0.000 0.000
Pm: 0.071 0.571 0.918
Pm: 0.153 0.071 0.500
Pm: 0.347 0.847 0.918
Pm: 0.429 0.347 0.500
Pm: 0.500 0.500 0.000
Pm: 0.571 0.653 0.500
Pm: 0.653 0.153 0.082
Pm: 0.847 0.929 0.500
Pm: 0.929 0.429 0.082
Pr: 0.250 0.250 0.000
Pr: 0.750 0.750 0.000
Nd: 0.118 0.382 0.500
Nd: 0.382 0.882 0.265
Nd: 0.618 0.118 0.735
Nd: 0.882 0.618 0.500

[12]
Computed, not measured: a relaxed SrPtW3 crystal at the PBE-GGA level of DFT.

Calculated values
V, Å³/atom: 20.5
DOS(E_F), states/eV/atom: 1.432
Total magnetization, μB per formula unit: 0.00
Space-group type: No. 221
Relative energy among the computed polymorphs, eV per atom: 1.783
Calculated formation energy, eV per atom: 3.59

abc: 4.682 4.682 4.682
angles: 90.00 90.00 90.00
Positions (direct):
Sr: 0.000 0.000 0.000
Pt: 0.500 0.500 0.500
W: 0.000 0.000 0.500
W: 0.000 0.500 0.000
W: 0.500 0.000 0.000

[13]
Computed, not measured: a relaxed Ac5PrRh4 crystal at the PBE-GGA level of DFT.

Calculated values
V, Å³/atom: 32.4
DOS(E_F), states/eV/atom: 0.667
Total magnetization, μB per formula unit: 0.00
Space-group type: No. 12
Calculated formation energy, eV per atom: -0.59

abc: 9.470 9.470 8.387
angles: 104.39 104.39 26.42
Positions (direct):
Ac: 0.000 0.000 0.000
Ac: 0.335 0.335 0.649
Ac: 0.337 0.337 0.168
Ac: 0.663 0.663 0.832
Ac: 0.665 0.665 0.351
Pr: 0.000 0.000 0.500
Rh: 0.172 0.172 0.607
Rh: 0.499 0.499 0.759
Rh: 0.501 0.501 0.241
Rh: 0.828 0.828 0.393

[14]
Computed, not measured: a relaxed Sr2NiAs4Pd3 crystal at the PBE-GGA level of DFT.

Calculated values
V, Å³/atom: 19.9
DOS(E_F), states/eV/atom: 0.518
Total magnetization, μB per formula unit: 0.00
Space-group type: No. 115
Calculated formation energy, eV per atom: -0.72

abc: 4.426 4.426 10.168
angles: 90.00 90.00 90.00
Positions (direct):
Sr: 0.000 0.500 0.246
Sr: 0.500 0.000 0.754
Ni: 0.500 0.500 0.000
As: 0.000 0.000 0.500
As: 0.000 0.500 0.878
As: 0.500 0.000 0.122
As: 0.500 0.500 0.500
Pd: 0.000 0.000 0.000
Pd: 0.000 0.500 0.628
Pd: 0.500 0.000 0.372

[15]
Computed, not measured: a relaxed Tm3Te3I crystal at the PBE-GGA level of DFT.

Calculated values
V, Å³/atom: 31.6
Formation energy without anion corrections, eV/atom: -1.249
DOS(E_F), states/eV/atom: 0.509
Total magnetization, μB per formula unit: 0.00
Space-group type: No. 123

abc: 4.294 4.294 11.994
angles: 90.00 90.00 90.00
Positions (direct):
Tm: 0.000 0.000 0.000
Tm: 0.500 0.500 0.251
Tm: 0.500 0.500 0.749
Te: 0.000 0.000 0.259
Te: 0.000 0.000 0.741
Te: 0.500 0.500 0.000
I: 0.500 0.500 0.500

[16]
Computed, not measured: a relaxed CaCdNi crystal at the PBE-GGA level of DFT.

Calculated values
V, Å³/atom: 22.4
DOS(E_F), states/eV/atom: 0.565
Total magnetization, μB per formula unit: 0.00
Space-group type: No. 187
Calculated formation energy, eV per atom: -0.10

abc: 4.516 4.516 3.805
angles: 90.00 90.00 120.00
Positions (direct):
Ca: 0.000 0.000 0.000
Cd: 0.667 0.333 0.500
Ni: 0.333 0.667 0.500

[17]
Computed, not measured: a relaxed CaAg2Pt crystal at the PBE-GGA level of DFT.

Calculated values
V, Å³/atom: 19.3
DOS(E_F), states/eV/atom: 0.361
Total magnetization, μB per formula unit: 0.00
Space-group type: No. 119
Calculated formation energy, eV per atom: -0.36

abc: 5.170 5.170 5.170
angles: 130.85 130.85 72.06
Positions (direct):
Ca: 0.000 0.000 0.000
Ag: 0.500 0.500 0.000
Ag: 0.750 0.250 0.500
Pt: 0.250 0.750 0.500

[18]
Computed, not measured: a relaxed PmPrNd5Y2 crystal at the PBE-GGA level of DFT.

Calculated values
V, Å³/atom: 35.3
DOS(E_F), states/eV/atom: 1.572
Total magnetization, μB per formula unit: 0.00
Space-group type: No. 36
Calculated formation energy, eV per atom: 0.14

abc: 10.696 10.696 10.698
angles: 90.00 90.00 148.72
Positions (direct):
Pm: 0.202 0.798 0.500
Pm: 0.798 0.202 0.000
Pr: 0.413 0.587 0.940
Pr: 0.587 0.413 0.440
Nd: 0.018 0.982 0.514
Nd: 0.281 0.719 0.800
Nd: 0.296 0.704 0.194
Nd: 0.393 0.607 0.517
Nd: 0.477 0.523 0.231
Nd: 0.523 0.477 0.731
Nd: 0.607 0.393 0.017
Nd: 0.704 0.296 0.694
Nd: 0.719 0.281 0.300
Nd: 0.982 0.018 0.014
Y: 0.113 0.887 0.222
Y: 0.118 0.882 0.815
Y: 0.882 0.118 0.315
Y: 0.887 0.113 0.722

[19]
Computed, not measured: a relaxed BaCaIn2Co crystal at the PBE-GGA level of DFT.

Calculated values
V, Å³/atom: 28.0
DOS(E_F), states/eV/atom: 0.856
Total magnetization, μB per formula unit: 0.35
Space-group type: No. 123
Calculated formation energy, eV per atom: -0.18

abc: 5.158 5.158 5.258
angles: 90.00 90.00 90.00
Positions (direct):
Ba: 0.000 0.000 0.000
Ca: 0.500 0.500 0.000
In: 0.000 0.500 0.500
In: 0.500 0.000 0.500
Co: 0.500 0.500 0.500

[20]
Computed, not measured: a relaxed LiCuPO4 crystal at the PBE-GGA level of DFT.

Calculated values
V, Å³/atom: 12.3
Formation energy without anion corrections, eV/atom: -1.764
DOS(E_F), states/eV/atom: 0.168
Total magnetization, μB per formula unit: 1.00
Space-group type: No. 33
Relative energy among the computed polymorphs, eV per atom: 0.042

abc: 10.950 6.037 5.189
angles: 90.00 90.00 90.00
Positions (direct):
Li: 0.178 0.006 0.000
Li: 0.322 0.506 0.500
Li: 0.678 0.494 0.000
Li: 0.822 0.994 0.500
Cu: 0.085 0.760 0.490
Cu: 0.415 0.260 0.990
Cu: 0.585 0.740 0.490
Cu: 0.915 0.240 0.990
P: 0.162 0.507 0.000
P: 0.338 0.007 0.500
P: 0.662 0.993 0.000
P: 0.838 0.493 0.500
O: 0.085 0.296 0.934
O: 0.108 0.722 0.883
O: 0.171 0.528 0.297
O: 0.208 0.972 0.387
O: 0.292 0.472 0.887
O: 0.329 0.028 0.797
O: 0.392 0.222 0.383
O: 0.415 0.796 0.434
O: 0.585 0.204 0.934
O: 0.608 0.778 0.883
O: 0.671 0.972 0.297
O: 0.708 0.528 0.387
O: 0.792 0.028 0.887
O: 0.829 0.472 0.797
O: 0.892 0.278 0.383
O: 0.915 0.704 0.434

[21]
Computed, not measured: a relaxed Pm5YAl2 crystal at the PBE-GGA level of DFT.

Calculated values
V, Å³/atom: 29.8
DOS(E_F), states/eV/atom: 1.302
Total magnetization, μB per formula unit: 0.00
Space-group type: No. 71
Relative energy among the computed polymorphs, eV per atom: 0.000
Calculated formation energy, eV per atom: -0.07

abc: 8.314 8.314 8.314
angles: 154.62 100.24 85.34
Positions (direct):
Pm: 0.000 0.000 0.000
Pm: 0.075 0.358 0.717
Pm: 0.359 0.642 0.717
Pm: 0.641 0.358 0.283
Pm: 0.925 0.642 0.283
Y: 0.500 0.000 0.500
Al: 0.278 0.278 0.000
Al: 0.722 0.722 0.000

[22]
Computed, not measured: a relaxed BaTlIn2Fe crystal at the PBE-GGA level of DFT.

Calculated values
V, Å³/atom: 27.4
DOS(E_F), states/eV/atom: 0.608
Total magnetization, μB per formula unit: 1.25
Space-group type: No. 123
Calculated formation energy, eV per atom: -0.11

abc: 5.131 5.131 5.209
angles: 90.00 90.00 90.00
Positions (direct):
Ba: 0.000 0.000 0.000
Tl: 0.500 0.500 0.000
In: 0.000 0.500 0.500
In: 0.500 0.000 0.500
Fe: 0.500 0.500 0.500

[23]
Computed, not measured: a relaxed Sc2TlCu crystal at the PBE-GGA level of DFT.

Calculated values
V, Å³/atom: 24.4
DOS(E_F), states/eV/atom: 1.302
Total magnetization, μB per formula unit: 0.37
Space-group type: No. 139
Calculated formation energy, eV per atom: 0.31

abc: 7.791 7.791 7.791
angles: 152.95 152.95 38.63
Positions (direct):
Sc: 0.183 0.183 0.000
Sc: 0.817 0.817 0.000
Tl: 0.500 0.500 0.000
Cu: 0.000 0.000 0.000